Mg2AgWO6 | PBE with a Hubbard U | relaxed

Computed properties:
Final energy ... -6.164 eV/atom
Calculated volume ... 119.7 Å³/f.u.
E above lowest polymorph ... 0.000 eV per atom
D(E_F) ... 0.19 states/eV/atom

CIF file:
```
data_Mg2AgWO6
_chemical_formula_sum 'Mg2 Ag1 W1 O6'
_symmetry_space_group_name_H-M 'P 1'
_symmetry_Int_Tables_number 1
_symmetry_space_group_name_Hall 'P 1'
_cell_length_a 5.208
_cell_length_b 5.401
_cell_length_c 5.592
_cell_angle_alpha 63.81
_cell_angle_beta 89.45
_cell_angle_gamma 61.37
loop_
_atom_site_label
_atom_site_type_symbol
_atom_site_fract_x
_atom_site_fract_y
_atom_site_fract_z
Mg1 Mg 0.000 0.000 0.000
Mg2 Mg 0.479 0.023 0.478
Ag1 Ag 0.214 0.574 0.624
W1 W 0.700 0.598 0.090
O1 O 0.069 0.480 0.299
O2 O 0.309 0.808 0.809
O3 O 0.429 0.784 0.289
O4 O 0.653 0.014 0.828
O5 O 0.735 0.186 0.256
O6 O 0.899 0.464 0.827
```